A relaxed structure of DyHo3Sn2, computed with PBE.

a = 4.517 Å, b = 10.319 Å, c = 9.508 Å
α = 124.94°, β = 90.00°, γ = 102.64°
Positions (direct):
Ho: 0.055 0.110 0.421
Ho: 0.308 0.617 0.507
Ho: 0.945 0.890 0.579
Sn: 0.246 0.492 0.773
Ho: 0.647 0.294 0.811
Ho: 0.353 0.706 0.189
Dy: 0.114 0.228 0.103
Sn: 0.493 0.987 0.839
Sn: 0.507 0.013 0.161
Ho: 0.692 0.383 0.493
Dy: 0.886 0.772 0.897
Sn: 0.754 0.508 0.227

Results
Calculated formation energy   -484 meV per atom
DFT total energy   -4.875 eV/atom
N(E_F)   1.10 states/eV/atom


A relaxed structure of PmZn4Ga, computed with PBE.

a = 4.211 Å, b = 7.203 Å, c = 7.326 Å
α = 90.00°, β = 90.00°, γ = 90.00°
Positions (direct):
Ga: 0.000 0.769 0.250
Pm: 0.000 0.361 0.250
Zn: 0.500 0.322 0.557
Zn: 0.500 0.322 0.943
Zn: 0.500 0.678 0.443
Pm: 0.000 0.639 0.750
Zn: 0.500 0.678 0.057
Zn: 0.500 0.057 0.250
Zn: 0.000 0.000 0.500
Ga: 0.000 0.231 0.750
Zn: 0.500 0.943 0.750
Zn: 0.000 0.000 0.000

Results
Calculated formation energy   -232 meV per atom
DFT total energy   -2.377 eV/atom
N(E_F)   0.26 states/eV/atom
Polymorph energy (0 for the lowest one)   0.000 eV per formula unit


A relaxed structure of YNb2Os2, computed with PBE.

a = 7.815 Å, b = 7.815 Å, c = 3.072 Å
α = 90.00°, β = 90.00°, γ = 90.00°
Positions (direct):
Y: 0.000 0.000 0.000
Nb: 0.653 0.847 0.500
Y: 0.500 0.500 0.000
Os: 0.863 0.637 0.000
Nb: 0.347 0.153 0.500
Nb: 0.847 0.347 0.500
Os: 0.137 0.363 0.000
Os: 0.363 0.863 0.000
Nb: 0.153 0.653 0.500
Os: 0.637 0.137 0.000

Results
Calculated formation energy   -23 meV per atom
DFT total energy   -9.835 eV/atom
N(E_F)   0.96 states/eV/atom
Polymorph energy (0 for the lowest one)   1.118 eV per formula unit


A relaxed structure of CuPPd2, computed with PBE.

a = 5.249 Å, b = 6.053 Å, c = 7.234 Å
α = 90.00°, β = 90.00°, γ = 90.00°
Positions (direct):
Cu: 0.906 0.003 0.250
Pd: 0.179 0.668 0.055
Pd: 0.679 0.832 0.945
Cu: 0.594 0.503 0.250
Cu: 0.406 0.497 0.750
P: 0.018 0.376 0.250
Pd: 0.679 0.832 0.555
Pd: 0.179 0.668 0.445
P: 0.518 0.124 0.750
Pd: 0.821 0.332 0.555
Pd: 0.821 0.332 0.945
P: 0.482 0.876 0.250
P: 0.982 0.624 0.750
Pd: 0.321 0.168 0.445
Pd: 0.321 0.168 0.055
Cu: 0.094 0.997 0.750

Results
Calculated formation energy   -329 meV per atom
DFT total energy   -5.302 eV/atom
N(E_F)   0.45 states/eV/atom


A relaxed structure of La2GaBr, computed with PBE.

a = 3.601 Å, b = 3.601 Å, c = 8.420 Å
α = 90.00°, β = 90.00°, γ = 90.00°
Positions (direct):
Ga: 0.500 0.500 0.000
La: 0.000 0.000 0.768
Br: 0.500 0.500 0.500
La: 0.000 0.000 0.232

Results
E_form (uncorrected)   -0.935 eV/atom
DFT total energy   -4.574 eV/atom
N(E_F)   0.56 states/eV/atom
Polymorph energy (0 for the lowest one)   0.178 eV per formula unit


A relaxed structure of Pm2Dy5Bi4, computed with PBE.

a = 4.332 Å, b = 7.701 Å, c = 12.437 Å
α = 117.42°, β = 100.03°, γ = 90.00°
Positions (direct):
Bi: 0.278 0.335 0.556
Dy: 0.819 0.109 0.637
Bi: 0.962 0.217 0.925
Dy: 0.500 0.000 0.000
Dy: 0.181 0.891 0.363
Bi: 0.038 0.783 0.075
Pm: 0.425 0.469 0.850
Dy: 0.856 0.685 0.712
Bi: 0.722 0.665 0.444
Pm: 0.575 0.531 0.150
Dy: 0.144 0.315 0.288

Results
Calculated formation energy   -448 meV per atom
DFT total energy   -4.815 eV/atom
N(E_F)   0.74 states/eV/atom


A relaxed structure of KTaBr2, computed with PBE.

a = 6.075 Å, b = 6.075 Å, c = 6.075 Å
α = 139.81°, β = 114.21°, γ = 79.98°
Positions (direct):
K: 0.750 0.250 0.500
Br: 0.432 0.432 0.000
Ta: 0.250 0.750 0.500
Br: 0.068 0.068 0.000

Results
E_form (uncorrected)   -0.035 eV/atom
DFT total energy   -4.109 eV/atom
N(E_F)   0.59 states/eV/atom
Polymorph energy (0 for the lowest one)   0.390 eV per formula unit


A relaxed structure of LiTlSbO3, computed with PBE.

a = 6.079 Å, b = 5.910 Å, c = 5.997 Å
α = 119.52°, β = 90.00°, γ = 90.00°
Positions (direct):
O: 0.000 0.239 0.000
O: 0.500 0.239 0.000
Li: 0.250 0.417 0.834
Li: 0.750 0.583 0.166
Sb: 0.750 0.956 0.912
Tl: 0.750 0.272 0.544
Tl: 0.250 0.728 0.456
O: 0.250 0.229 0.458
O: 0.750 0.771 0.542
O: 0.500 0.761 0.000
Sb: 0.250 0.044 0.088
O: 0.000 0.761 0.000

Results
E_form (uncorrected)   -1.197 eV/atom
DFT total energy   -5.077 eV/atom
N(E_F)   0.29 states/eV/atom


A relaxed structure of Nd6Si2SnSe3, computed with PBE.

a = 4.286 Å, b = 8.690 Å, c = 9.662 Å
α = 103.46°, β = 102.82°, γ = 90.00°
Positions (direct):
Nd: 0.003 0.260 0.007
Nd: 0.997 0.740 0.993
Si: 0.167 0.334 0.334
Se: 0.500 0.500 0.000
Si: 0.833 0.666 0.666
Sn: 0.500 0.000 0.000
Se: 0.166 0.832 0.331
Nd: 0.670 0.576 0.340
Se: 0.834 0.168 0.669
Nd: 0.330 0.905 0.659
Nd: 0.670 0.095 0.341
Nd: 0.330 0.424 0.660

Results
E_form (uncorrected)   -1.284 eV/atom
DFT total energy   -5.777 eV/atom
N(E_F)   0.29 states/eV/atom


A relaxed structure of Pm2BeGe4Pd3, computed with PBE.

a = 4.180 Å, b = 4.180 Å, c = 10.653 Å
α = 90.00°, β = 90.00°, γ = 90.00°
Positions (direct):
Ge: 0.000 0.000 0.000
Be: 0.500 0.500 0.500
Pd: 0.500 0.000 0.863
Ge: 0.500 0.500 0.000
Pd: 0.000 0.000 0.500
Pd: 0.000 0.500 0.137
Ge: 0.500 0.000 0.629
Pm: 0.500 0.000 0.259
Pm: 0.000 0.500 0.741
Ge: 0.000 0.500 0.371

Results
Calculated formation energy   -700 meV per atom
DFT total energy   -5.428 eV/atom
N(E_F)   0.36 states/eV/atom


A relaxed structure of Ba2LaAl, computed with PBE.

a = 7.571 Å, b = 7.571 Å, c = 6.168 Å
α = 65.97°, β = 65.97°, γ = 31.54°
Positions (direct):
Ba: 0.956 0.956 0.043
Ba: 0.754 0.754 0.747
La: 0.555 0.555 0.444
Al: 0.235 0.235 0.266

Results
Calculated formation energy   21 meV per atom
DFT total energy   -3.108 eV/atom
N(E_F)   1.16 states/eV/atom


A relaxed structure of LiLuGaOs, computed with PBE.

a = 4.559 Å, b = 4.559 Å, c = 4.559 Å
α = 60.00°, β = 60.00°, γ = 60.00°
Positions (direct):
Lu: 0.500 0.500 0.500
Ga: 0.000 0.000 0.000
Os: 0.250 0.250 0.250
Li: 0.750 0.750 0.750

Results
Calculated formation energy   -237 meV per atom
DFT total energy   -5.409 eV/atom
N(E_F)   0.37 states/eV/atom


Question: What is the formula in the eighth record?
Answer: LiTlSbO3


Question: Among the records above, which one has the highest N(E_F)?
Answer: Ba2LaAl


Please write out number 2 again, unchanged.
A relaxed structure of PmZn4Ga, computed with PBE.

a = 4.211 Å, b = 7.203 Å, c = 7.326 Å
α = 90.00°, β = 90.00°, γ = 90.00°
Positions (direct):
Ga: 0.000 0.769 0.250
Pm: 0.000 0.361 0.250
Zn: 0.500 0.322 0.557
Zn: 0.500 0.322 0.943
Zn: 0.500 0.678 0.443
Pm: 0.000 0.639 0.750
Zn: 0.500 0.678 0.057
Zn: 0.500 0.057 0.250
Zn: 0.000 0.000 0.500
Ga: 0.000 0.231 0.750
Zn: 0.500 0.943 0.750
Zn: 0.000 0.000 0.000

Results
Calculated formation energy   -232 meV per atom
DFT total energy   -2.377 eV/atom
N(E_F)   0.26 states/eV/atom
Polymorph energy (0 for the lowest one)   0.000 eV per formula unit


Repeat the eighth record exactly.
A relaxed structure of LiTlSbO3, computed with PBE.

a = 6.079 Å, b = 5.910 Å, c = 5.997 Å
α = 119.52°, β = 90.00°, γ = 90.00°
Positions (direct):
O: 0.000 0.239 0.000
O: 0.500 0.239 0.000
Li: 0.250 0.417 0.834
Li: 0.750 0.583 0.166
Sb: 0.750 0.956 0.912
Tl: 0.750 0.272 0.544
Tl: 0.250 0.728 0.456
O: 0.250 0.229 0.458
O: 0.750 0.771 0.542
O: 0.500 0.761 0.000
Sb: 0.250 0.044 0.088
O: 0.000 0.761 0.000

Results
E_form (uncorrected)   -1.197 eV/atom
DFT total energy   -5.077 eV/atom
N(E_F)   0.29 states/eV/atom